No. 1
VASP calculation (GGA-PBE) on ReHS2O after structural relaxation.

abc: 4.4831 2.7319 4.4831
angles: 90.00 90.00 90.00
Fractional positions:
Re 0.5000 0.5000 0.5000
S 0.0000 0.0000 0.5000
S 0.5000 0.0000 0.0000
O 0.0000 0.0000 0.0000
H 0.0000 0.5000 0.0000

Space group = P4/mmm

No. 2
VASP calculation (GGA-PBE) on ReSn2HO6 after structural relaxation.

abc: 5.9329 5.9329 6.1740
angles: 117.03 117.03 99.34
Fractional positions:
Re 0.9779 0.9784 0.9879
Sn 0.8673 0.2525 0.6336
Sn 0.2519 0.8678 0.6336
H 0.6083 0.6088 0.2928
O 0.6699 0.6704 0.8023
O 0.7879 0.7884 0.4666
O 0.2244 0.2249 0.9443
O 0.7822 0.1898 0.9300
O 0.1399 0.1404 0.3769
O 0.1893 0.7827 0.9300

Space group = Cm

No. 3
VASP calculation (GGA-PBE) on Sr2ReHO6 after structural relaxation.

abc: 6.0186 5.9511 6.1466
angles: 120.16 122.64 90.66
Fractional positions:
Sr 0.7783 0.2270 0.5389
Sr 0.2553 0.7179 0.5338
Re 0.9939 0.0075 0.9996
H 0.6322 0.6288 0.3042
O 0.7400 0.6780 0.8300
O 0.8274 0.7720 0.4741
O 0.1988 0.2991 0.0524
O 0.6834 0.1121 0.8336
O 0.1250 0.2096 0.4119
O 0.2647 0.8519 0.0194

Space group = P1

| no. | uncorrected energy (eV/f.u.) |
| --- | --- |
| 1 | -26.30 |
| 2 | -66.92 |
| 3 | -70.36 |